Compound: LiCaSe2
Source: the Alexandria database
Functional: PBE
Structure: optimized geometry

The structure in CIF format:
```
data_LiCaSe2
_chemical_formula_sum 'Li4 Ca4 Se8'
_cell_length_a 7.100
_cell_length_b 7.100
_cell_length_c 7.100
_cell_angle_alpha 90.00
_cell_angle_beta 90.00
_cell_angle_gamma 90.00
_symmetry_space_group_name_H-M 'F -4 3 m'
_symmetry_Int_Tables_number 216
_symmetry_space_group_name_Hall 'F -4 2 3'
loop_
_atom_site_label
_atom_site_fract_x
_atom_site_fract_y
_atom_site_fract_z
Li1 0.000 0.000 0.000
Ca1 0.250 0.250 0.250
Se1 0.000 0.000 0.500
Se2 0.250 0.250 0.750
```

Calculated values
- E (eV/f.u.) = -13.42

=====

Compound: BaFe2Co
Source: the Alexandria database
Functional: PBE
Structure: optimized geometry

The structure in CIF format:
```
data_BaFe2Co
_chemical_formula_sum 'Ba1 Fe2 Co1'
_cell_length_a 3.204
_cell_length_b 3.204
_cell_length_c 7.299
_cell_angle_alpha 90.00
_cell_angle_beta 90.00
_cell_angle_gamma 90.00
_symmetry_space_group_name_H-M 'P 4 m m'
_symmetry_Int_Tables_number 99
loop_
_symmetry_equiv_pos_as_xyz
'x,y,z'
'-y,x,z'
'-x,-y,z'
'y,-x,z'
'-x,y,z'
'y,x,z'
'x,-y,z'
'-y,-x,z'
loop_
_atom_site_label
_atom_site_fract_x
_atom_site_fract_y
_atom_site_fract_z
Ba1 0.000 0.000 0.000
Fe1 0.000 0.000 0.490
Fe2 0.500 0.500 0.647
Co1 0.500 0.500 0.340
```

Calculated values
- energy relative to the lowest polymorph listed for this composition (meV/atom) = 221.4
- calculated formation energy (eV/atom) = 0.548

=====

Compound: ErZrN
Source: the Alexandria database
Functional: PBE
Structure: optimized geometry

The structure in CIF format:
```
data_ErZrN
_chemical_formula_sum 'Er1 Zr1 N1'
_cell_length_a 3.469
_cell_length_b 3.469
_cell_length_c 4.439
_cell_angle_alpha 90.00
_cell_angle_beta 90.00
_cell_angle_gamma 90.00
_symmetry_space_group_name_H-M 'P 4/m m m'
_symmetry_Int_Tables_number 123
_symmetry_space_group_name_Hall '-P 4 2'
loop_
_atom_site_label
_atom_site_fract_x
_atom_site_fract_y
_atom_site_fract_z
Er1 0.000 0.000 0.000
Zr1 0.500 0.500 0.500
N1 0.500 0.500 0.000
```

Calculated values
- energy relative to the lowest polymorph listed for this composition (meV/atom) = 12.1

=====

Compound: NpAgTe2
Source: the Alexandria database
Functional: PBE
Structure: optimized geometry

The structure in CIF format:
```
data_NpAgTe2
_chemical_formula_sum 'Np1 Ag1 Te2'
_cell_length_a 5.075
_cell_length_b 5.075
_cell_length_c 3.884
_cell_angle_alpha 90.00
_cell_angle_beta 90.00
_cell_angle_gamma 90.00
_symmetry_space_group_name_H-M 'P 4/m m m'
_symmetry_Int_Tables_number 123
_symmetry_space_group_name_Hall '-P 4 2'
loop_
_atom_site_label
_atom_site_fract_x
_atom_site_fract_y
_atom_site_fract_z
Np1 0.000 0.000 0.000
Ag1 0.500 0.500 0.000
Te1 0.000 0.500 0.500
```

Calculated values
- E (eV/f.u.) = -23.41

=====

Total magnetization (computed, μB/f.u.): 0.00 6.77 0.00 3.91